No. 1
Computed, not measured: an optimized crystal structure of Ce4UN5 at the PBE-GGA level of DFT.

Its mass density is 9.197 g/cm³. The calculation puts the uncorrected formation energy at -1.458 eV/atom. As for the total energy: -9.123 eV per atom.

It has space group I4/mmm (No. 139), with a = 3.5467 Å, b = 3.5467 Å, c = 24.9323 Å, α = 90.00°, β = 90.00° and γ = 90.00°. The distinct sites, in fractional coordinates, are Ce at (0.0000, 0.0000, 0.0991), Ce at (0.0000, 0.0000, 0.3005), U at (0.0000, 0.0000, 0.5000), N at (0.0000, 0.0000, 0.0000), N at (0.0000, 0.0000, 0.2001) and N at (0.0000, 0.0000, 0.4067).

No. 2
Computed, not measured: an optimized crystal structure of CeU2N3 at the PBE-GGA level of DFT.

Its mass density is 12.285 g/cm³. The calculation puts the uncorrected formation energy at -1.372 eV/atom. As for the total energy: -10.287 eV per atom.

It has space group Immm (No. 71), with a = 3.4703 Å, b = 4.9263 Å, c = 10.4080 Å, α = 90.00°, β = 90.00° and γ = 90.00°. The distinct sites, in fractional coordinates, are Ce at (0.0000, 0.0000, 0.0000), U at (0.0000, 0.0000, 0.3356), N at (0.0000, 0.5000, 0.0000) and N at (0.0000, 0.5000, 0.3202).

No. 3
Computed, not measured: an optimized crystal structure of Ce5U3N8 at the PBE-GGA level of DFT.

Its mass density is 10.344 g/cm³. The calculation puts the uncorrected formation energy at -1.458 eV/atom. As for the total energy: -9.591 eV per atom.

It has space group R-3m (No. 166, hexagonal axes), with a = 7.0187 Å, b = 7.0187 Å, c = 17.2337 Å, α = 90.00°, β = 90.00° and γ = 120.00°. The distinct sites, in fractional coordinates, are Ce at (0.0000, 0.0000, 0.0000), Ce at (0.0000, 0.0000, 0.5000), Ce at (0.0000, 0.5000, 0.0000), U at (0.0000, 0.5000, 0.5000), N at (0.0000, 0.0000, 0.2400) and N at (0.0168, 0.5084, 0.7584).